VASP calculation (meta-GGA SCAN) on a PBEsol-optimized structure of SrAlGeH.

```
SrAlGeH
1.0
4.228 0.000 0.000
-2.114 3.662 0.000
0.000 0.000 4.828
Sr Al Ge H
1 1 1 1
direct
0.000 0.000 0.000
0.667 0.333 0.543
0.333 0.667 0.444
0.667 0.333 0.907
```

- VASP energy: -13.734 eV per atom



VASP calculation (meta-GGA SCAN) on a PBEsol-optimized structure of Hf3AlGe.

```
Hf3AlGe
1.0
4.861 0.000 0.000
0.000 4.861 0.000
0.000 0.000 4.861
Hf Al Ge
3 1 1
direct
0.000 0.000 0.500
0.000 0.500 0.000
0.500 0.000 0.000
0.500 0.500 0.500
0.000 0.000 0.000
```

- Relative energy among the computed polymorphs: 0.000 eV per atom
- VASP energy: -42.644 eV per atom



VASP calculation (meta-GGA SCAN) on a PBEsol-optimized structure of HfAl2NiGe.

```
HfAl2NiGe
1.0
4.542 0.000 0.000
0.000 4.542 0.000
0.000 0.000 4.921
Hf Al Ni Ge
1 2 1 1
direct
0.000 0.000 0.000
0.000 0.500 0.500
0.500 0.000 0.500
0.500 0.500 0.000
0.000 0.000 0.500
```

- VASP energy: -21.791 eV per atom



VASP calculation (meta-GGA SCAN) on a PBEsol-optimized structure of HoAl2Ge2.

```
HoAl2Ge2
1.0
4.224 0.000 0.000
-2.112 3.658 0.000
0.000 0.000 6.490
Ho Al Ge
1 2 2
direct
0.000 0.000 0.000
0.333 0.667 0.647
0.667 0.333 0.353
0.333 0.667 0.254
0.667 0.333 0.746
```

- VASP energy: -20.983 eV per atom



> Which value of VASP energy does entry 1 give?

-13.734 eV per atom



> Number 4 is which compound?

HoAl2Ge2